(1)
This record from OQMD describes an optimized crystal structure of TaNbRe6. The functional is PBE-GGA.

Structure (POSCAR):
```
TaNbRe6
1.0
-1.009 2.919 3.212
0.840 -3.104 3.084
6.020 1.844 0.216
Re Ta Nb
6 1 1
Cartesian
3.010 0.922 0.108 Re
1.923 -1.092 1.596 Re
0.999 1.920 1.660 Re
4.012 2.843 1.768 Re
-0.085 -0.093 3.148 Re
4.936 -0.169 1.704 Re
0.000 0.000 0.000 Ta
2.925 0.829 3.257 Nb
```

Energy relative to the elements in eV per atom: 0.036
Energy in eV/atom: -12.025
Crystal system: tetragonal

=====

(2)
This record from OQMD describes an optimized crystal structure of TaNbRe. The functional is PBE-GGA.

Structure (POSCAR):
```
TaNbRe
1.0
0.000 3.112 3.112
3.112 0.000 3.112
3.112 3.112 0.000
Ta Re Nb
1 1 1
Cartesian
4.668 4.668 4.668 Ta
0.000 0.000 0.000 Re
1.556 1.556 1.556 Nb
```

Energy relative to the elements in eV per atom: 0.334
Energy in eV/atom: -11.122
Crystal system: cubic

=====

(3)
This record from OQMD describes an optimized crystal structure of TbNbRe. The functional is PBE-GGA.

Structure (POSCAR):
```
TbNbRe
1.0
1.052 -4.055 1.770
-3.269 -3.072 0.746
-0.239 -3.738 -2.579
Nb Re Tb
1 1 1
Cartesian
0.000 0.000 0.000 Nb
-0.614 -2.716 -0.016 Re
-1.842 -8.148 -0.048 Tb
```

Energy relative to the elements in eV per atom: 0.740
Energy in eV/atom: -8.309
Crystal system: cubic

=====

(4)
This record from OQMD describes an optimized crystal structure of NbRe2Tc. The functional is PBE-GGA.

Structure (POSCAR):
```
NbRe2Tc
1.0
0.000 3.146 3.146
3.146 0.000 3.146
3.146 3.146 0.000
Tc Nb Re
1 1 2
Cartesian
1.573 1.573 1.573 Tc
3.146 3.146 3.146 Nb
0.000 0.000 0.000 Re
4.719 4.719 4.719 Re
```

Energy relative to the elements in eV per atom: 0.029
Energy in eV/atom: -11.296
Crystal system: cubic

=====

(5)
This record from OQMD describes an optimized crystal structure of Nb2ReTc. The functional is PBE-GGA.

Structure (POSCAR):
```
Nb2ReTc
1.0
6.394 0.000 0.000
0.000 4.521 0.000
0.000 0.000 9.039
Nb Re Tc
8 4 4
Cartesian
3.196 3.391 5.649 Nb
0.000 1.130 3.390 Nb
0.001 3.391 1.130 Nb
0.000 3.391 5.649 Nb
3.198 1.130 3.389 Nb
6.393 1.130 7.909 Nb
3.197 1.130 7.909 Nb
3.198 3.391 1.130 Nb
4.796 1.130 1.130 Re
1.598 3.391 7.909 Re
4.795 1.130 5.649 Re
1.599 3.391 3.389 Re
4.795 3.391 7.909 Tc
4.796 3.391 3.390 Tc
1.599 1.130 1.130 Tc
1.598 1.130 5.649 Tc
```

Energy relative to the elements in eV per atom: -0.301
Energy in eV/atom: -11.044
Crystal system: cubic

=====

(6)
This record from OQMD describes an optimized crystal structure of Nb2ReTc. The functional is PBE-GGA.

Structure (POSCAR):
```
Nb2ReTc
1.0
0.000 3.190 3.190
3.190 0.000 3.190
3.190 3.190 0.000
Re Nb Tc
1 2 1
Cartesian
0.000 0.000 0.000 Re
3.190 3.190 3.190 Nb
4.785 4.785 4.785 Nb
1.595 1.595 1.595 Tc
```

Energy relative to the elements in eV per atom: -0.130
Energy in eV/atom: -10.872
Crystal system: cubic

=====

(7)
This record from OQMD describes an optimized crystal structure of Nb2ReTc. The functional is PBE-GGA.

Structure (POSCAR):
```
Nb2ReTc
1.0
4.520 0.000 0.000
0.000 4.520 0.000
0.000 0.000 3.198
Re Nb Tc
1 2 1
Cartesian
2.260 2.260 0.000 Re
0.000 2.260 1.599 Nb
2.260 0.000 1.599 Nb
0.000 0.000 0.000 Tc
```

Energy relative to the elements in eV per atom: -0.300
Energy in eV/atom: -11.043
Crystal system: tetragonal

=====

(8)
This record from OQMD describes an optimized crystal structure of Nb2ReTc. The functional is PBE-GGA.

Structure (POSCAR):
```
Nb2ReTc
1.0
5.886 0.000 0.000
0.000 7.796 0.000
0.000 0.000 5.829
Re Nb Tc
4 8 4
Cartesian
4.691 1.949 5.723 Re
1.748 5.847 3.021 Re
4.138 1.949 2.809 Re
1.195 5.847 0.106 Re
0.312 0.244 1.453 Nb
2.631 3.654 4.368 Nb
2.631 0.244 4.368 Nb
3.255 7.552 1.461 Nb
5.574 4.142 4.376 Nb
5.574 7.552 4.376 Nb
0.312 3.654 1.453 Nb
3.255 4.142 1.461 Nb
5.001 5.847 2.273 Tc
2.058 1.949 0.642 Tc
3.828 5.847 5.187 Tc
0.885 1.949 3.557 Tc
```

Energy relative to the elements in eV per atom: 0.170
Energy in eV/atom: -10.572
Crystal system: orthorhombic

=====

(9)
This record from OQMD describes an optimized crystal structure of NbReTc2. The functional is PBE-GGA.

Structure (POSCAR):
```
NbReTc2
1.0
2.013 -3.614 1.622
-0.306 -0.960 4.328
-2.419 -3.479 1.338
Re Nb Tc
1 1 2
Cartesian
-0.534 -6.040 5.466 Re
0.000 0.000 0.000 Nb
-0.178 -2.013 1.822 Tc
-0.356 -4.027 3.644 Tc
```

Energy relative to the elements in eV per atom: 0.053
Energy in eV/atom: -10.757
Crystal system: cubic

=====

(10)
This record from OQMD describes an optimized crystal structure of Nb2ReTc. The functional is PBE-GGA.

Structure (POSCAR):
```
Nb2ReTc
1.0
-1.401 4.301 0.022
-0.679 -0.254 6.359
12.815 4.165 1.534
Re Tc Nb
6 6 12
Cartesian
0.000 0.000 0.000 Re
1.096 2.718 3.446 Re
4.272 1.389 0.511 Re
9.640 5.494 4.469 Re
8.543 2.777 1.023 Re
5.368 4.106 3.958 Re
8.204 2.650 4.202 Tc
5.707 4.233 0.778 Tc
-0.339 -0.127 3.180 Tc
1.436 2.845 0.267 Tc
9.979 5.622 1.289 Tc
2.532 5.562 3.713 Tc
10.509 3.408 2.868 Nb
3.062 3.348 5.292 Nb
5.899 1.892 5.536 Nb
7.335 4.738 5.803 Nb
-0.870 2.087 1.600 Nb
-1.209 1.960 4.781 Nb
7.674 4.864 2.624 Nb
0.566 4.932 1.868 Nb
0.227 4.805 5.047 Nb
3.401 3.475 2.112 Nb
10.170 3.281 6.048 Nb
6.238 2.019 2.357 Nb
```

Energy relative to the elements in eV per atom: -0.302
Energy in eV/atom: -11.044
Crystal system: cubic

=====

(11)
This record from OQMD describes an optimized crystal structure of NbTlRe. The functional is PBE-GGA.

Structure (POSCAR):
```
NbTlRe
1.0
0.000 3.187 3.187
3.187 0.000 3.187
3.187 3.187 0.000
Re Nb Tl
1 1 1
Cartesian
0.000 0.000 0.000 Re
1.593 1.593 1.593 Nb
4.780 4.780 4.780 Tl
```

Energy in eV/atom: -7.407
Crystal system: cubic

=====

(12)
This record from OQMD describes an optimized crystal structure of Nb2TlRe. The functional is PBE-GGA.

Structure (POSCAR):
```
Nb2TlRe
1.0
-0.347 -4.469 -1.339
-3.750 -2.521 1.212
-3.138 -1.233 -3.244
Nb Re Tl
2 1 1
Cartesian
0.000 0.000 0.000 Nb
-5.426 -6.168 -2.528 Nb
-1.809 -2.056 -0.843 Re
-3.618 -4.112 -1.686 Tl
```

Energy in eV/atom: -8.243
Crystal system: cubic

=====

no.,calculated volume (A^3/atom)
1,15.6
2,20.1
3,22.2
4,15.6
5,16.3
6,16.2
7,16.3
8,16.7
9,15.5
10,16.4
11,21.6
12,18.1